Here is a relaxed TbErZnIr crystal from Alexandria. Energies are from PBE-GGA.

Total energy in eV per atom: -5.47
Volume in Å³ per atom: 21.0
ΔE_f in eV per formula unit: -2.56
Space group: F-43m
Crystal system: cubic

Geometry as extended XYZ:
```
4
Lattice="0.000 3.476 3.476 3.476 0.000 3.476 3.476 3.476 0.000" Properties=species:S:1:pos:R:3 pbc="T T T"
Tb 0.000 0.000 0.000
Er 3.476 3.476 3.476
Zn 5.214 5.214 5.214
Ir 1.738 1.738 1.738
```

---

Here is a relaxed AgPd3N crystal from Alexandria. Energies are from PBE-GGA.

Total energy in eV per atom: -5.18
Formation energy without anion corrections in eV per atom: 0.17
Volume in Å³ per atom: 14.5
Space group: Pm-3m
Crystal system: cubic
ΔE to the lowest computed polymorph in meV per atom: 0

Geometry as extended XYZ:
```
5
Lattice="4.172 0.000 0.000 0.000 4.172 0.000 0.000 0.000 4.172" Properties=species:S:1:pos:R:3 pbc="T T T"
Ag 0.000 0.000 0.000
Pd 0.000 2.086 2.086
Pd 2.086 0.000 2.086
Pd 2.086 2.086 0.000
N 2.086 2.086 2.086
```

---

Here is a relaxed CdRePt2 crystal from Alexandria. Energies are from PBE-GGA.

Total energy in eV per atom: -6.32
Volume in Å³ per atom: 16.4
ΔE_f in eV per formula unit: 0.18
Space group: P4mm
Crystal system: tetragonal

Geometry as extended XYZ:
```
4
Lattice="2.813 0.000 0.000 0.000 2.813 0.000 0.000 0.000 8.279" Properties=species:S:1:pos:R:3 pbc="T T T"
Cd 0.000 0.000 0.000
Re 1.406 1.406 6.043
Pt 0.000 0.000 4.234
Pt 1.406 1.406 2.153
```

---

Here is a relaxed TbDy2Si crystal from Alexandria. Energies are from PBE-GGA.

Total energy in eV per atom: -5.07
Formation energy without anion corrections in eV per atom: -0.26
Volume in Å³ per atom: 24.9
Space group: P4/mmm
Crystal system: tetragonal
ΔE to the lowest computed polymorph in meV per atom: 0

Geometry as extended XYZ:
```
4
Lattice="4.633 0.000 0.000 0.000 4.633 0.000 0.000 0.000 4.631" Properties=species:S:1:pos:R:3 pbc="T T T"
Tb 0.000 0.000 0.000
Dy 0.000 2.316 2.316
Dy 2.316 0.000 2.316
Si 2.316 2.316 0.000
```

---

Here is a relaxed Ce6Tl3Pd crystal from Alexandria. Energies are from PBE-GGA.

Total energy in eV per atom: -4.93
Volume in Å³ per atom: 28.7
ΔE_f in eV per formula unit: -1.40
Space group: C2/m
Crystal system: monoclinic

Geometry as extended XYZ:
```
10
Lattice="5.111 -3.430 0.000 5.111 3.430 0.000 -2.212 0.000 8.181" Properties=species:S:1:pos:R:3 pbc="T T T"
Ce 2.385 2.053 5.220
Ce 5.624 2.053 2.961
Ce 3.374 0.000 0.961
Ce 4.635 0.000 7.220
Ce 2.385 -2.053 5.220
Ce 5.624 -2.053 2.961
Tl 0.000 0.000 0.000
Tl 0.127 0.000 6.070
Tl 7.882 0.000 2.111
Pd 4.005 0.000 4.091
```

---

Here is a relaxed SrLi2Au crystal from Alexandria. Energies are from PBE-GGA.

Total energy in eV per atom: -2.51
Volume in Å³ per atom: 26.3
ΔE_f in eV per formula unit: -1.25
Space group: Cmmm
Crystal system: orthorhombic
ΔE to the lowest computed polymorph in meV per atom: 114

Geometry as extended XYZ:
```
4
Lattice="3.054 -3.541 0.000 3.054 3.541 0.000 0.000 0.000 4.870" Properties=species:S:1:pos:R:3 pbc="T T T"
Sr 0.000 0.000 0.000
Li 3.054 1.250 2.435
Li 3.054 -1.250 2.435
Au 3.054 0.000 0.000
```

---

Here is a relaxed HgTeN2F crystal from Alexandria. Energies are from PBE-GGA.

Total energy in eV per atom: -2.70
Formation energy without anion corrections in eV per atom: 1.69
Volume in Å³ per atom: 23.0
Space group: P4/mmm
Crystal system: tetragonal
ΔE to the lowest computed polymorph in meV per atom: 915

Geometry as extended XYZ:
```
5
Lattice="4.193 0.000 0.000 0.000 4.193 0.000 0.000 0.000 6.532" Properties=species:S:1:pos:R:3 pbc="T T T"
Hg 0.000 0.000 0.000
Te 0.000 0.000 3.266
N 0.000 2.097 0.000
N 2.097 0.000 0.000
F 2.097 2.097 3.266
```

---

Here is a relaxed CoAs2RuSe crystal from Alexandria. Energies are from PBE-GGA.

Total energy in eV per atom: -5.09
Formation energy without anion corrections in eV per atom: 0.74
Volume in Å³ per atom: 18.2
Space group: P4/mmm
Crystal system: tetragonal
ΔE to the lowest computed polymorph in meV per atom: 0

Geometry as extended XYZ:
```
5
Lattice="4.407 0.000 0.000 0.000 4.407 0.000 0.000 0.000 4.693" Properties=species:S:1:pos:R:3 pbc="T T T"
Co 0.000 0.000 0.000
As 0.000 2.203 0.000
As 2.203 0.000 0.000
Ru 2.203 2.203 2.346
Se 0.000 0.000 2.346
```